Record 1
# CaPm2H8 | Alexandria via LeMat-Bulk | GGA-PBE | optimized geometry
data_CaPm2H8
_cell_length_a 3.838
_cell_length_b 5.237
_cell_length_c 6.573
_cell_angle_alpha 113.48
_cell_angle_beta 106.97
_cell_angle_gamma 90.00
_space_group_name_H-M_alt 'P 1'
_space_group_IT_number 1
loop_
_space_group_symop_operation_xyz
'x,y,z'
loop_
_atom_site_label
_atom_site_type_symbol
_atom_site_fract_x
_atom_site_fract_y
_atom_site_fract_z
Pm1 Pm 0.824 0.324 0.647
H1 H 0.000 0.273 0.000
H2 H 0.000 0.727 0.000
H3 H 0.653 0.422 0.306
Ca1 Ca 0.500 0.000 0.000
H4 H 0.347 0.578 0.694
H5 H 0.653 0.883 0.306
Pm2 Pm 0.176 0.676 0.353
H6 H 0.183 0.183 0.365
H7 H 0.817 0.817 0.635
H8 H 0.347 0.117 0.694
# Calculated total energy   -0.14937 Ha/atom

***

Record 2
# CaPm4H10 | Alexandria via LeMat-Bulk | GGA-PBE | optimized geometry
data_CaPm4H10
_cell_length_a 3.821
_cell_length_b 3.821
_cell_length_c 15.842
_cell_angle_alpha 83.07
_cell_angle_beta 83.07
_cell_angle_gamma 60.00
_space_group_name_H-M_alt 'P 1'
_space_group_IT_number 1
loop_
_space_group_symop_operation_xyz
'x,y,z'
loop_
_atom_site_label
_atom_site_type_symbol
_atom_site_fract_x
_atom_site_fract_y
_atom_site_fract_z
Pm1 Pm 0.600 0.600 0.201
H1 H 0.649 0.649 0.053
H2 H 0.750 0.750 0.750
Pm2 Pm 0.400 0.400 0.799
H3 H 0.950 0.950 0.151
H4 H 0.150 0.150 0.549
H5 H 0.250 0.250 0.250
H6 H 0.050 0.050 0.849
Pm3 Pm 0.200 0.200 0.400
Ca1 Ca 0.000 0.000 0.000
H7 H 0.351 0.351 0.947
H8 H 0.550 0.550 0.351
Pm4 Pm 0.800 0.800 0.600
H9 H 0.850 0.850 0.451
H10 H 0.450 0.450 0.649
# Density of states at the Fermi level   4.74 states/eV per cell
# Calculated total energy   -0.15712 Ha/atom